No. 1
DFT (PBE) results for crystalline LaPm2Er5Sc at its relaxed geometry.

## Properties
Formation energy from the elements in eV/atom: 0.2692

Lattice parameters (Å, degrees): 8.6657 8.6657 15.2360 90.00 90.00 90.00
With the nearest neighbours (Å) after each atom.
Space group I4/mcm (No. 140)
Asymmetric unit:
La: 0.0000 0.0000 0.2500 x4  10 Er 3.55-3.81
Pm: 0.1184 0.3816 0.0000 x8  1 Pm 2.90, 2 Er 3.02
Er: 0.0000 0.0000 0.0000 x4  4 Pm 3.46, 8 Er 3.76, 2 La 3.81
Er: 0.2046 0.2954 0.3617 x16  1 Pm 3.02, 1 Sc 3.03
Sc: 0.0000 0.5000 0.2500 x4  4 Er 3.03

No. 2
DFT (PBE) results for crystalline La5PmEr2Sc at its relaxed geometry.

## Properties
Formation energy from the elements in eV/atom: 0.2993

Lattice parameters (Å, degrees): 8.0900 8.0900 9.6705 90.00 90.00 90.00
With the nearest neighbours (Å) after each atom.
Space group P4/mbm (No. 127)
Asymmetric unit:
La: 0.0000 0.0000 0.0000 x2  4 Er 3.18
La: 0.2071 0.2929 0.2707 x8  1 Er 3.22, 1 Sc 3.24
Pm: 0.0000 0.0000 0.5000 x2  8 La 3.65, 4 Sc 4.04
Er: 0.1289 0.6289 0.0000 x4  1 Er 2.95, 4 La 3.18-3.22
Sc: 0.0000 0.5000 0.5000 x2  4 La 3.24

Question: Which of these has the highest formation energy from the elements?
Answer: La5PmEr2Sc

Question: formation energy from the elements of number 2 (La5PmEr2Sc)?
Answer: 0.2993 eV/atom

Question: Look up the formation energy from the elements of the first one.
Answer: 0.2692 eV/atom

Copy entry 1 word for word.
DFT (PBE) results for crystalline LaPm2Er5Sc at its relaxed geometry.

## Properties
Formation energy from the elements in eV/atom: 0.2692

Lattice parameters (Å, degrees): 8.6657 8.6657 15.2360 90.00 90.00 90.00
With the nearest neighbours (Å) after each atom.
Space group I4/mcm (No. 140)
Asymmetric unit:
La: 0.0000 0.0000 0.2500 x4  10 Er 3.55-3.81
Pm: 0.1184 0.3816 0.0000 x8  1 Pm 2.90, 2 Er 3.02
Er: 0.0000 0.0000 0.0000 x4  4 Pm 3.46, 8 Er 3.76, 2 La 3.81
Er: 0.2046 0.2954 0.3617 x16  1 Pm 3.02, 1 Sc 3.03
Sc: 0.0000 0.5000 0.2500 x4  4 Er 3.03